Record 1
## Rb2Nb2Tl (PBE)

Data for a relaxed Rb2Nb2Tl crystal.

Summary:
For the energy of formation from the pure elements, the calculation gives 1.1832 eV per atom. Its symmetry is P4/mbm, No. 127.

Cell: 10.9641 10.9641 3.3940 Å, 90.00 90.00 90.00°
Fractional coordinates of all 10 atoms:
Rb 0.2145 0.2855 0.0000
Rb 0.2855 0.7855 0.0000
Rb 0.7145 0.2145 0.0000
Rb 0.7855 0.7145 0.0000
Nb 0.0692 0.5692 0.5000
Nb 0.4308 0.0692 0.5000
Nb 0.5692 0.9308 0.5000
Nb 0.9308 0.4308 0.5000
Tl 0.0000 0.0000 0.5000
Tl 0.5000 0.5000 0.5000

Record 2
## Rb2NbTl (PBE)

Data for a relaxed Rb2NbTl crystal.

Summary:
For the energy of formation from the pure elements, the calculation gives 1.1142 eV per atom. Its symmetry is I-42d, No. 122.

Cell: 10.1880 10.1880 6.3967 Å, 90.00 90.00 90.00°
Fractional coordinates of all 16 atoms:
Rb 0.2438 0.2500 0.1250
Rb 0.2500 0.7438 0.3750
Rb 0.2500 0.7562 0.8750
Rb 0.2562 0.2500 0.6250
Rb 0.7438 0.7500 0.6250
Rb 0.7500 0.2438 0.8750
Rb 0.7500 0.2562 0.3750
Rb 0.7562 0.7500 0.1250
Nb 0.0000 0.0000 0.5000
Nb 0.0000 0.5000 0.7500
Nb 0.5000 0.0000 0.2500
Nb 0.5000 0.5000 0.0000
Tl 0.0000 0.0000 0.0000
Tl 0.0000 0.5000 0.2500
Tl 0.5000 0.0000 0.7500
Tl 0.5000 0.5000 0.5000

Record 3
## RbYNb2Tl (PBE)

Data for a relaxed RbYNb2Tl crystal.

Summary:
For the energy of formation from the pure elements, the calculation gives 2.1762 eV per atom. Its symmetry is P4/mmm, No. 123.

Cell: 4.9127 4.9127 5.3342 Å, 90.00 90.00 90.00°
Fractional coordinates of all 5 atoms:
Rb 0.0000 0.0000 0.0000
Y 0.0000 0.0000 0.5000
Nb 0.0000 0.5000 0.0000
Nb 0.5000 0.0000 0.0000
Tl 0.5000 0.5000 0.5000

Record 4
## RbNb2V (PBE)

Data for a relaxed RbNb2V crystal.

Summary:
For the energy of formation from the pure elements, the calculation gives 1.8005 eV per atom. Its symmetry is I4_1/amd, No. 141.

Cell: 5.6058 5.6058 15.9379 Å, 90.00 90.00 90.00°
Fractional coordinates of all 16 atoms:
Rb 0.0000 0.2500 0.3750
Rb 0.0000 0.7500 0.6250
Rb 0.5000 0.2500 0.1250
Rb 0.5000 0.7500 0.8750
Nb 0.0000 0.0000 0.0000
Nb 0.0000 0.5000 0.0000
Nb 0.2500 0.2500 0.7500
Nb 0.2500 0.7500 0.2500
Nb 0.5000 0.0000 0.5000
Nb 0.5000 0.5000 0.5000
Nb 0.7500 0.2500 0.7500
Nb 0.7500 0.7500 0.2500
V 0.0000 0.2500 0.8750
V 0.0000 0.7500 0.1250
V 0.5000 0.2500 0.6250
V 0.5000 0.7500 0.3750

no.,spin magnetization (μB per atom)
1,0.000
2,1.031
3,0.000
4,0.000